Compound: TcPbCl
Source: Alexandria via LeMat-Bulk
Functional: PBE
Structure: relaxed

a b c (Å): 3.2934 3.2934 7.6043
angles (deg): 90.00 90.00 120.00
Space group P3m1 (No. 156)
Asymmetric unit:
Tc 0.0000 0.0000 0.0000 x1
Pb 0.3333 0.6667 0.6910 x1
Cl 0.6667 0.3333 0.1853 x1

**Total DFT energy (no corrections)**: -15.29 eV/cell
**Total magnetization**: 0.0 μB/f.u.
**Energy relative to the lowest polymorph listed for this composition**: 0.00 eV per formula unit
**ΔE_f (raw)**: 0.63 eV per formula unit